Computed, not measured: a geometry-optimized CoTeO4 structure at the PBE with a Hubbard U level of DFT.

POSCAR file:
```
CoTeO4
1.0
3.088 0.000 0.000
0.000 5.316 0.043
0.000 -1.965 5.120
Co Te O
1 1 4
Cartesian
1.544 2.658 0.022 Co
0.000 1.675 2.582 Te
0.000 0.246 3.851 O
0.000 3.105 1.312 O
1.544 0.916 1.494 O
1.544 2.435 3.669 O
```

Calculated values
- ρ (Mg/m³) = 4.94
- M_tot (μB/cell) = 3.00
- uncorrected energy (eV/atom) = -5.609